Below is crystalline Sr2La2Se at its relaxed geometry, with properties calculated at the PBE-GGA level.

Properties
Crystal system: tetragonal
M_tot: 0.000 μB/f.u.
Energy above the most stable polymorph in this dataset: 0 meV/atom
ΔE_f (raw): -0.46 eV/atom

Cell lengths 7.9327, 7.9327, 6.6684 Å; angles 90.00, 90.00, 90.00 degrees
Positions (direct):
Se (0.5000, 0.5000, 0.0000)
Se (0.0000, 0.0000, 0.0000)
Sr (0.6665, 0.8335, 0.5000)
Sr (0.1665, 0.6665, 0.5000)
Sr (0.8335, 0.3335, 0.5000)
Sr (0.3335, 0.1665, 0.5000)
La (0.6526, 0.1526, 0.0000)
La (0.1526, 0.3474, 0.0000)
La (0.8474, 0.6526, 0.0000)
La (0.3474, 0.8474, 0.0000)